# BWSeF2 (GGA+U, optimized geometry)
# N(E_F)	1.39	states/eV/f.u.
# energy	-18.398	eV/cell
data_BWSeF2
_chemical_formula_sum 'B1 W1 Se1 F2'
_cell_length_a 3.876
_cell_length_b 3.876
_cell_length_c 5.504
_cell_angle_alpha 90.00
_cell_angle_beta 90.00
_cell_angle_gamma 90.00
_symmetry_space_group_name_H-M 'P 4/m m m'
_symmetry_Int_Tables_number 123
_symmetry_space_group_name_Hall '-P 4 2'
loop_
_atom_site_label
_atom_site_type_symbol
_atom_site_fract_x
_atom_site_fract_y
_atom_site_fract_z
B1 B 0.000 0.000 0.000
W1 W 0.500 0.500 0.000
Se1 Se 0.000 0.000 0.500
F1 F 0.000 0.500 0.500